Entry 1:
! Cu2S4Br3 | the Alexandria database | GGA-PBE | optimized geometry; values from VASP
! total DFT energy (no corrections)	-3.3615	eV per atom
! calculated density	3.29	Mg/m³
&SYSTEM
  ibrav = 0, nat = 18, ntyp = 3
/
ATOMIC_SPECIES
Cu 63.55 Cu.upf
S 32.06 S.upf
Br 79.90 Br.upf
CELL_PARAMETERS angstrom
-3.6344 -0.2257 -1.1770
-2.4012 -6.7588 -16.1792
-8.0229 -10.2237 -4.4261
ATOMIC_POSITIONS crystal
Cu 0.6320 0.9023 0.5270
Cu 0.9906 0.3398 0.2318
Cu 0.3680 0.0977 0.4730
Cu 0.0094 0.6602 0.7682
S 0.2035 0.1762 0.6760
S 0.9079 0.4668 0.7637
S 0.7965 0.8238 0.3240
S 0.0921 0.5332 0.2363
S 0.2731 0.8185 0.5373
S 0.4047 0.4251 0.1979
S 0.7269 0.1815 0.4627
S 0.5953 0.5749 0.8021
Br 0.0301 0.9321 0.7414
Br 0.6002 0.3039 0.0171
Br 0.9699 0.0679 0.2586
Br 0.3998 0.6961 0.9829
Br 0.0213 0.3306 0.6263
Br 0.9787 0.6694 0.3737

Entry 2:
! DyEr2In | the Alexandria database | GGA-PBE | optimized geometry; values from VASP
! DFT formation energy	-0.11	eV per atom
! total DFT energy (no corrections)	-4.2230	eV per atom
! distance to the lowest polymorph of the same formula	157	meV per atom
! calculated density	9.06	Mg/m³
&SYSTEM
  ibrav = 0, nat = 4, ntyp = 3
/
ATOMIC_SPECIES
Dy 162.50 Dy.upf
In 114.82 In.upf
Er 167.26 Er.upf
CELL_PARAMETERS angstrom
-2.4217 4.6528 1.3383
-0.6525 1.3104 5.2117
2.8931 4.0337 2.1594
ATOMIC_POSITIONS crystal
Dy 0.0000 0.0000 0.0000
In 0.5000 0.5000 0.5000
Er 0.2500 0.2500 0.2500
Er 0.7500 0.7500 0.7500

Entry 3:
! BaPb4Au4 | the Alexandria database | GGA-PBE | optimized geometry; values from VASP
! DFT formation energy	-0.23	eV per atom
! total DFT energy (no corrections)	-3.5465	eV per atom
! distance to the lowest polymorph of the same formula	26	meV per atom
! calculated density	10.91	Mg/m³
&SYSTEM
  ibrav = 0, nat = 18, ntyp = 3
/
ATOMIC_SPECIES
Ba 137.33 Ba.upf
Pb 207.20 Pb.upf
Au 196.97 Au.upf
CELL_PARAMETERS angstrom
5.7512 0.0000 0.0000
0.0000 9.6371 0.0000
0.0000 0.0000 9.6371
ATOMIC_POSITIONS crystal
Ba 0.0000 0.0000 0.0000
Ba 0.5000 0.5000 0.5000
Pb 0.3827 0.3813 0.8589
Pb 0.8827 0.6411 0.8813
Pb 0.3827 0.6187 0.1411
Pb 0.1173 0.1187 0.6411
Pb 0.6173 0.8589 0.6187
Pb 0.1173 0.8813 0.3589
Pb 0.8827 0.3589 0.1187
Pb 0.6173 0.1411 0.3813
Au 0.6111 0.8642 0.2833
Au 0.6111 0.1358 0.7167
Au 0.1111 0.7833 0.6358
Au 0.8889 0.3642 0.7833
Au 0.8889 0.6358 0.2167
Au 0.3889 0.2833 0.1358
Au 0.3889 0.7167 0.8642
Au 0.1111 0.2167 0.3642